YFe4Cu3O12 after structural relaxation. Source: Alexandria, functional PBE+U.

a b c (Å): 6.461 6.461 6.461
angles (deg): 109.47 109.47 109.47
Element x y z (fractional)
1 Y 0.000 0.000 0.000
2 Fe 0.000 0.000 0.500
3 Fe 0.000 0.500 0.000
4 Fe 0.500 0.000 0.000
5 Fe 0.500 0.500 0.500
6 Cu 0.000 0.500 0.500
7 Cu 0.500 0.000 0.500
8 Cu 0.500 0.500 0.000
9 O 0.143 0.836 0.308
10 O 0.164 0.308 0.472
11 O 0.164 0.692 0.857
12 O 0.308 0.143 0.836
13 O 0.308 0.472 0.164
14 O 0.472 0.164 0.308
15 O 0.528 0.836 0.692
16 O 0.692 0.528 0.836
17 O 0.692 0.857 0.164
18 O 0.836 0.308 0.143
19 O 0.836 0.692 0.528
20 O 0.857 0.164 0.692

Values from the calculation:
Calculated total energy   -127.469 eV for the cell shown
SG   Im-3 (204)
DOS(E_F)   2.71 states/eV/f.u.